Entry 1:
The following is a DFT calculation (PBE) of ScOs2Ru after structural relaxation.

## Properties
**Symmetry**: P4/mmm, No. 123
**ΔE to the lowest computed polymorph**: 107 meV per atom
**ΔE_f**: 18 meV/atom
**M_tot**: 0.00 μB/cell

Structure (POSCAR):
```
ScOs2Ru
1.0
2.7890 0.0000 0.0000
0.0000 2.7890 0.0000
0.0000 0.0000 7.9723
Sc Os Ru
1 2 1
Direct
0.0000 0.0000 0.0000
0.5000 0.5000 0.2714
0.5000 0.5000 0.7286
0.0000 0.0000 0.5000
```

=====

Entry 2:
The following is a DFT calculation (PBE) of ScOs2Ru after structural relaxation.

## Properties
**Symmetry**: Pmmm, No. 47
**ΔE to the lowest computed polymorph**: 157 meV per atom
**ΔE_f**: 68 meV/atom
**M_tot**: 0.00 μB/cell

Structure (POSCAR):
```
ScOs2Ru
1.0
2.7772 0.0000 0.0000
0.0000 3.9162 0.0000
0.0000 0.0000 5.7319
Sc Os Ru
1 2 1
Direct
0.0000 0.0000 0.0000
0.5000 0.5000 0.2756
0.5000 0.5000 0.7244
0.0000 0.0000 0.5000
```